# 1
The following is a DFT calculation (PBE) of a relaxed structure of Al3TcCl.

a b c (Å): 4.573 4.573 4.573
angles (deg): 90.00 90.00 90.00
Fractional coordinates of all 5 atoms:
Al1 0.000 0.000 0.500
Al2 0.000 0.500 0.000
Al3 0.500 0.000 0.000
Tc1 0.500 0.500 0.500
Cl1 0.000 0.000 0.000

Computed properties:
* formation energy (no corrections): 1.009 eV/atom
* calculated total energy: -0.1352 hartree per atom



# 2
The following is a DFT calculation (PBE) of a relaxed structure of AlTc2Cl.

a b c (Å): 3.023 4.914 8.547
angles (deg): 90.00 90.00 90.00
Fractional coordinates of all 8 atoms:
Al1 0.000 0.000 0.000
Al2 0.500 0.500 0.000
Tc1 0.000 0.000 0.479
Tc2 0.000 0.500 0.242
Tc3 0.500 0.000 0.242
Tc4 0.500 0.500 0.479
Cl1 0.000 0.500 0.777
Cl2 0.500 0.000 0.777

Computed properties:
* formation energy (no corrections): 0.223 eV/atom
* calculated total energy: -0.2336 hartree per atom



# 3
The following is a DFT calculation (PBE) of a relaxed structure of AlTc2Cl.

a b c (Å): 9.948 2.833 4.489
angles (deg): 90.00 94.44 90.00
Fractional coordinates of all 8 atoms:
Al1 0.000 0.000 0.000
Al2 0.500 0.500 0.000
Tc1 0.051 0.500 0.526
Tc2 0.292 0.000 0.692
Tc3 0.551 0.000 0.526
Tc4 0.792 0.500 0.692
Cl1 0.254 0.500 0.267
Cl2 0.754 0.000 0.267

Computed properties:
* formation energy (no corrections): 0.388 eV/atom
* calculated total energy: -0.2276 hartree per atom



# 4
The following is a DFT calculation (PBE) of a relaxed structure of AlTc2Cl.

a b c (Å): 9.879 2.835 4.518
angles (deg): 90.00 95.18 90.00
Fractional coordinates of all 8 atoms:
Al1 0.000 0.000 0.000
Al2 0.500 0.500 0.000
Tc1 0.211 0.500 0.224
Tc2 0.289 0.000 0.776
Tc3 0.711 0.000 0.224
Tc4 0.789 0.500 0.776
Cl1 0.000 0.500 0.500
Cl2 0.500 0.000 0.500

Computed properties:
* formation energy (no corrections): 0.312 eV/atom
* calculated total energy: -0.2304 hartree per atom



Number 1: V 96 Å³/cell. Number 2: V 127 Å³/cell. Number 3: V 126 Å³/cell. Number 4: V 126 Å³/cell.